{"formula": "Ta2TcAs", "functional": "PBE", "state": "relaxed", "cell": [[-2.0216, 0.3957, -3.3610], [-1.1073, -3.7769, 0.2214], [-9.0812, 0.7953, 3.2439]], "species": ["As", "As", "Ta", "Ta", "Ta", "Ta", "Tc", "Tc"], "fractional_positions": [[0.2500, 0.7500, 0.5000], [0.5000, 0.5000, 0.0000], [0.8750, 0.8651, 0.7500], [0.3750, 0.3849, 0.7500], [0.1349, 0.6250, 0.2500], [0.6151, 0.1250, 0.2500], [0.7500, 0.2500, 0.5000], [0.0000, 0.0000, 0.0000]], "magnetic_moment_mub_per_fu": 0.23, "sg": "No. 122", "total_energy_ev_per_fu": -36.9}

---

{"formula": "YbMgPd", "functional": "PBE", "state": "relaxed", "cell": [[4.2770, 0.0000, 0.0000], [0.0000, 7.2633, 0.0000], [0.0000, 0.0000, 8.5113]], "species": ["Pd", "Pd", "Pd", "Pd", "Yb", "Yb", "Yb", "Yb", "Mg", "Mg", "Mg", "Mg"], "fractional_positions": [[0.2500, 0.2647, 0.6273], [0.2500, 0.7647, 0.8727], [0.7500, 0.2353, 0.1273], [0.7500, 0.7353, 0.3727], [0.2500, 0.5331, 0.1752], [0.7500, 0.4669, 0.8248], [0.7500, 0.9669, 0.6752], [0.2500, 0.0331, 0.3248], [0.2500, 0.6388, 0.5606], [0.7500, 0.8612, 0.0606], [0.2500, 0.1388, 0.9394], [0.7500, 0.3612, 0.4394]], "magnetic_moment_mub_per_fu": 0.19, "sg": "No. 62", "total_energy_ev_per_fu": -10.4}

---

{"formula": "Tl4In2Bi", "functional": "PBE", "state": "relaxed", "cell": [[6.1158, 0.0000, 0.0000], [0.0000, 6.1158, 0.0000], [-3.0579, -3.0579, 7.7330]], "species": ["Tl", "Tl", "Tl", "Tl", "Bi", "In", "In"], "fractional_positions": [[0.2036, 0.2036, 0.4073], [0.5000, 0.0000, 0.0000], [0.7964, 0.7964, 0.5927], [0.0000, 0.5000, 0.0000], [0.0000, 0.0000, 0.0000], [0.4019, 0.4019, 0.8039], [0.5981, 0.5981, 0.1961]], "magnetic_moment_mub_per_fu": 0.00, "de_polymorph_ev_per_atom": 0.312, "sg": "No. 139", "total_energy_ev_per_fu": -16.6}

---

{"formula": "Tl3AgAu2Cl9", "functional": "PBE", "state": "relaxed", "cell": [[-4.8885, -2.9436, 4.4711], [0.6087, -2.4217, -6.8058], [6.0266, -5.9656, 2.6617]], "species": ["Cl", "Cl", "Cl", "Cl", "Cl", "Cl", "Cl", "Cl", "Cl", "Au", "Au", "Tl", "Tl", "Tl", "Ag"], "fractional_positions": [[0.5000, 0.5000, 0.0000], [0.8317, 0.6634, 0.6706], [0.1683, 0.8317, 0.3294], [0.8317, 0.1683, 0.6706], [0.6634, 0.8317, 0.3294], [0.1683, 0.3366, 0.3294], [0.3366, 0.1683, 0.6706], [0.5000, 0.0000, 0.0000], [0.0000, 0.5000, 0.0000], [0.3333, 0.6667, 0.1631], [0.6667, 0.3333, 0.8369], [0.6667, 0.3333, 0.3547], [0.3333, 0.6667, 0.6453], [0.0000, 0.0000, 0.0000], [0.0000, 0.0000, 0.5000]], "raw_formation_energy_ev_per_atom": -0.583, "magnetic_moment_mub_per_fu": 0.00, "sg": "No. 164", "total_energy_ev_per_fu": -41.9}

---

{"formula": "Pu3CoHg", "functional": "PBE", "state": "relaxed", "cell": [[-4.4038, 0.5211, 2.4975], [0.4377, -4.7540, 1.7637], [2.5135, 1.7408, 4.0687]], "species": ["Hg", "Pu", "Pu", "Pu", "Co"], "fractional_positions": [[0.5000, 0.5000, 0.5000], [0.0000, 0.0000, 0.5000], [0.0000, 0.5000, 0.0000], [0.5000, 0.0000, 0.0000], [0.0000, 0.0000, 0.0000]], "magnetic_moment_mub_per_fu": 17.07, "sg": "No. 221", "total_energy_ev_per_fu": -49.8}

---

{"formula": "Th2VSi3Pt12", "functional": "PBE", "state": "relaxed", "cell": [[7.7533, -0.2129, -0.1510], [3.6439, 6.8470, -0.1510], [3.6439, 2.1210, 6.5120]], "species": ["Pt", "Pt", "Pt", "Pt", "Pt", "Pt", "Pt", "Pt", "Pt", "Pt", "Pt", "Pt", "Th", "Th", "Si", "Si", "Si", "V"], "fractional_positions": [[0.3576, 0.3576, 0.8945], [0.1055, 0.6424, 0.6424], [0.6424, 0.6424, 0.1055], [0.1303, 0.6227, 0.1303], [0.6424, 0.1055, 0.6424], [0.3576, 0.8945, 0.3576], [0.8697, 0.3773, 0.8697], [0.8945, 0.3576, 0.3576], [0.1303, 0.1303, 0.6227], [0.6227, 0.1303, 0.1303], [0.8697, 0.8697, 0.3773], [0.3773, 0.8697, 0.8697], [0.6129, 0.6129, 0.6129], [0.3871, 0.3871, 0.3871], [0.0000, 0.5000, 0.0000], [0.5000, 0.0000, 0.0000], [0.0000, 0.0000, 0.5000], [0.0000, 0.0000, 0.0000]], "raw_formation_energy_ev_per_atom": -0.529, "magnetic_moment_mub_per_fu": 2.17, "sg": "No. 166", "total_energy_ev_per_fu": -122.2}

---

{"formula": "Ta2CdOs", "functional": "PBE", "state": "relaxed", "cell": [[9.9292, 0.0269, 0.0157], [9.4998, 2.8883, 0.0157], [9.4998, 1.4254, 2.5122]], "species": ["Ta", "Ta", "Cd", "Os"], "fractional_positions": [[0.4933, 0.4933, 0.4933], [0.0067, 0.0067, 0.0067], [0.2500, 0.2500, 0.2500], [0.7500, 0.7500, 0.7500]], "magnetic_moment_mub_per_fu": 0.00, "sg": "No. 166", "total_energy_ev_per_fu": -35.1}

---

{"formula": "FeAs2Pt", "functional": "PBE", "state": "relaxed", "cell": [[3.6621, -0.4740, -0.2809], [2.2330, 2.9410, -0.2809], [0.4286, 0.1794, 5.2904]], "species": ["Pt", "As", "As", "Fe"], "fractional_positions": [[0.3778, 0.3778, 0.2500], [0.7083, 0.7083, 0.5333], [0.0417, 0.0417, 0.9668], [0.3722, 0.3722, 0.7500]], "magnetic_moment_mub_per_fu": 0.00, "de_polymorph_ev_per_atom": 0.000, "sg": "No. 8", "total_energy_ev_per_fu": -24.5}

---

{"formula": "ZrAl2Mo", "functional": "PBE", "state": "relaxed", "cell": [[5.1924, -0.0046, -0.0067], [2.0914, 4.7526, 0.0067], [-3.4017, -2.7424, 2.8051]], "species": ["Mo", "Al", "Al", "Zr"], "fractional_positions": [[0.5043, 0.5043, 0.0000], [0.9929, 0.9929, 0.0000], [0.7514, 0.2514, 0.5000], [0.2514, 0.7514, 0.5000]], "magnetic_moment_mub_per_fu": 0.00, "de_polymorph_ev_per_atom": 0.065, "sg": "No. 44", "total_energy_ev_per_fu": -27.7}

---

{"formula": "UBiSb", "functional": "PBE", "state": "relaxed", "cell": [[-3.3531, 1.7661, 2.2714], [-2.8653, -2.3665, -2.3898], [3.6323, -6.2794, 5.9474]], "species": ["Sb", "Sb", "Bi", "Bi", "U", "U"], "fractional_positions": [[0.8202, 0.8202, 0.6405], [0.1798, 0.1798, 0.3595], [0.0000, 0.5000, 0.0000], [0.5000, 0.0000, 0.0000], [0.3552, 0.3552, 0.7103], [0.6448, 0.6448, 0.2897]], "raw_formation_energy_ev_per_atom": -0.086, "magnetic_moment_mub_per_fu": 2.05, "de_polymorph_ev_per_atom": 0.035, "sg": "No. 139", "total_energy_ev_per_fu": -19.5}

---

{"formula": "CsBr4", "functional": "PBE", "state": "relaxed", "cell": [[7.1099, 0.0000, 0.0000], [0.0000, 7.1099, 0.0000], [0.0000, 0.0000, 7.1099]], "species": ["Br", "Br", "Br", "Br", "Cs"], "fractional_positions": [[0.0000, 0.5000, 0.5000], [0.5000, 0.0000, 0.5000], [0.0000, 0.0000, 0.0000], [0.5000, 0.5000, 0.0000], [0.5000, 0.5000, 0.5000]], "raw_formation_energy_ev_per_atom": 0.035, "magnetic_moment_mub_per_fu": 3.02, "de_polymorph_ev_per_atom": 0.728, "sg": "No. 221", "total_energy_ev_per_fu": -7.4}

---

{"formula": "TiTc3Ge", "functional": "PBE", "state": "relaxed", "cell": [[4.5111, 0.0000, 0.0000], [0.0000, 4.5111, 0.0000], [0.0000, 0.0000, 4.5111]], "species": ["Ti", "Tc", "Tc", "Tc", "Ge"], "fractional_positions": [[0.5000, 0.5000, 0.5000], [0.0000, 0.5000, 0.0000], [0.0000, 0.0000, 0.5000], [0.5000, 0.0000, 0.0000], [0.0000, 0.0000, 0.0000]], "magnetic_moment_mub_per_fu": 1.88, "de_polymorph_ev_per_atom": 0.000, "sg": "No. 221", "total_energy_ev_per_fu": -38.6}

---

{"formula": "HRh3S", "functional": "PBE", "state": "relaxed", "cell": [[-1.6421, -3.5480, 0.1117], [2.5029, -1.0700, 2.8085], [-2.5172, 1.2506, 2.7197]], "species": ["Rh", "Rh", "Rh", "H", "S"], "fractional_positions": [[0.0000, 0.5000, 0.0000], [0.5000, 0.0000, 0.0000], [0.0000, 0.0000, 0.5000], [0.0000, 0.0000, 0.0000], [0.5000, 0.5000, 0.5000]], "magnetic_moment_mub_per_fu": 0.00, "de_polymorph_ev_per_atom": 0.000, "sg": "No. 221", "total_energy_ev_per_fu": -28.2}

---

{"formula": "KLa2", "functional": "PBE", "state": "relaxed", "cell": [[1.9066, -11.5226, 0.0000], [1.9066, 11.5226, 0.0000], [0.0000, 0.0000, 6.1697]], "species": ["La", "La", "La", "La", "K", "K"], "fractional_positions": [[0.5499, 0.4501, 0.2500], [0.4501, 0.5499, 0.7500], [0.9198, 0.0802, 0.2500], [0.0802, 0.9198, 0.7500], [0.7898, 0.2102, 0.7500], [0.2102, 0.7898, 0.2500]], "magnetic_moment_mub_per_fu": 0.00, "sg": "No. 63", "total_energy_ev_per_fu": -10.3}

---

{"formula": "AcBe2TeO8", "functional": "PBE", "state": "relaxed", "cell": [[-3.5703, 1.0085, -3.0095], [0.1150, -2.6424, -3.9781], [-4.2223, -5.1152, 3.2154]], "species": ["O", "O", "O", "O", "O", "O", "O", "O", "Be", "Be", "Ac", "Te"], "fractional_positions": [[0.3052, 0.3052, 0.5842], [0.7716, 0.2607, 0.1948], [0.2421, 0.2421, 0.9664], [0.7579, 0.7579, 0.0336], [0.6948, 0.6948, 0.4158], [0.2607, 0.7716, 0.1948], [0.2284, 0.7393, 0.8052], [0.7393, 0.2284, 0.8052], [0.6275, 0.6275, 0.2068], [0.3725, 0.3725, 0.7932], [0.0000, 0.0000, 0.5000], [0.0000, 0.0000, 0.0000]], "raw_formation_energy_ev_per_atom": -1.681, "magnetic_moment_mub_per_fu": 3.02, "sg": "No. 12", "total_energy_ev_per_fu": -74.5}

---

{"formula": "La2TbPmHg2", "functional": "PBE", "state": "relaxed", "cell": [[5.2261, 0.0000, 0.0000], [0.0000, 7.2864, 0.0000], [0.0000, 0.0000, 9.6911]], "species": ["Hg", "Hg", "Hg", "Hg", "La", "La", "La", "La", "Pm", "Pm", "Tb", "Tb"], "fractional_positions": [[0.0000, 0.7700, 0.1604], [0.0000, 0.2700, 0.8396], [0.5000, 0.2504, 0.3628], [0.5000, 0.7504, 0.6372], [0.0000, 0.3341, 0.1709], [0.0000, 0.8341, 0.8291], [0.5000, 0.0204, 0.0574], [0.5000, 0.5204, 0.9426], [0.0000, 0.4943, 0.5562], [0.0000, 0.9943, 0.4438], [0.5000, 0.1765, 0.6724], [0.5000, 0.6765, 0.3276]], "magnetic_moment_mub_per_fu": 0.00, "sg": "No. 26", "total_energy_ev_per_fu": -21.9}

---

{"formula": "Dy4Ag", "functional": "PBE", "state": "relaxed", "cell": [[-2.2178, 4.9894, -0.9756], [0.2234, -0.9677, -5.4569], [-5.0789, -2.2213, 0.1859]], "species": ["Dy", "Dy", "Dy", "Dy", "Ag"], "fractional_positions": [[0.5000, 0.5000, 0.0000], [0.5000, 0.0000, 0.5000], [0.0000, 0.5000, 0.5000], [0.0000, 0.0000, 0.0000], [0.5000, 0.5000, 0.5000]], "magnetic_moment_mub_per_fu": 0.00, "de_polymorph_ev_per_atom": 0.283, "sg": "No. 221", "total_energy_ev_per_fu": -19.9}

---

{"formula": "BaLuTlPb", "functional": "PBE", "state": "relaxed", "cell": [[5.7115, 0.0000, 0.0000], [2.8557, 4.9463, 0.0000], [2.8557, 1.6488, 4.6634]], "species": ["Lu", "Ba", "Pb", "Tl"], "fractional_positions": [[0.2500, 0.2500, 0.2500], [0.7500, 0.7500, 0.7500], [0.5000, 0.5000, 0.5000], [0.0000, 0.0000, 0.0000]], "magnetic_moment_mub_per_fu": 0.00, "sg": "No. 216", "total_energy_ev_per_fu": -13.6}

---

{"formula": "Cu2HgBr", "functional": "PBE", "state": "relaxed", "cell": [[-0.3615, 2.9150, -6.1475], [6.1407, -2.5108, -1.5517], [1.3011, -2.8471, -5.2020]], "species": ["Cu", "Cu", "Cu", "Cu", "Hg", "Hg", "Br", "Br"], "fractional_positions": [[0.1415, 0.6250, 0.2500], [0.6085, 0.1250, 0.2500], [0.8750, 0.8585, 0.7500], [0.3750, 0.3915, 0.7500], [0.7500, 0.2500, 0.5000], [0.0000, 0.0000, 0.0000], [0.2500, 0.7500, 0.5000], [0.5000, 0.5000, 0.0000]], "raw_formation_energy_ev_per_atom": 0.280, "magnetic_moment_mub_per_fu": 0.00, "de_polymorph_ev_per_atom": 0.282, "sg": "No. 122", "total_energy_ev_per_fu": -9.0}

---

{"formula": "Li2MoRh2", "functional": "PBE", "state": "relaxed", "cell": [[6.7694, 0.0000, 0.0000], [0.0000, 6.7694, 0.0000], [0.0000, 0.0000, 2.8064]], "species": ["Li", "Li", "Li", "Li", "Rh", "Rh", "Rh", "Rh", "Mo", "Mo"], "fractional_positions": [[0.8918, 0.6082, 0.0000], [0.3918, 0.8918, 0.0000], [0.6082, 0.1082, 0.0000], [0.1082, 0.3918, 0.0000], [0.6933, 0.8067, 0.5000], [0.1933, 0.6933, 0.5000], [0.8067, 0.3067, 0.5000], [0.3067, 0.1933, 0.5000], [0.5000, 0.5000, 0.0000], [0.0000, 0.0000, 0.0000]], "magnetic_moment_mub_per_fu": 0.00, "de_polymorph_ev_per_atom": 0.000, "sg": "No. 127", "total_energy_ev_per_fu": -29.1}